Record 1
Computed, not measured: an optimized crystal structure of Ho6AlTl2 at the PBE-GGA level of DFT.

```
data_Ho6AlTl2
_cell_length_a 8.2887
_cell_length_b 8.2887
_cell_length_c 4.3140
_cell_angle_alpha 90.00
_cell_angle_beta 90.00
_cell_angle_gamma 120.00
_symmetry_space_group_name_H-M 'P -6 2 m'
_symmetry_Int_Tables_number 189
_symmetry_space_group_name_Hall 'P -6 -2'
loop_
_atom_site_label
_atom_site_type_symbol
_atom_site_fract_x
_atom_site_fract_y
_atom_site_fract_z
Ho1 Ho 0.0000 0.3986 0.0000
Ho2 Ho 0.0000 0.7439 0.5000
Al1 Al 0.0000 0.0000 0.0000
Tl1 Tl 0.3333 0.6667 0.5000
```

Output
Mass density (g/cm3): 9.2
Raw total energy (eV/cell): -38.04

Record 2
Computed, not measured: an optimized crystal structure of Ho12AlTl3 at the PBE-GGA level of DFT.

```
data_Ho12AlTl3
_cell_length_a 4.8006
_cell_length_b 4.8006
_cell_length_c 19.2561
_cell_angle_alpha 90.00
_cell_angle_beta 90.00
_cell_angle_gamma 90.00
_symmetry_space_group_name_H-M 'P 4/m m m'
_symmetry_Int_Tables_number 123
_symmetry_space_group_name_Hall '-P 4 2'
loop_
_atom_site_label
_atom_site_type_symbol
_atom_site_fract_x
_atom_site_fract_y
_atom_site_fract_z
Ho1 Ho 0.0000 0.0000 0.0000
Ho2 Ho 0.0000 0.0000 0.2473
Ho3 Ho 0.0000 0.0000 0.5000
Ho4 Ho 0.0000 0.5000 0.1196
Ho5 Ho 0.0000 0.5000 0.3739
Al1 Al 0.5000 0.5000 0.0000
Tl1 Tl 0.5000 0.5000 0.2478
Tl2 Tl 0.5000 0.5000 0.5000
```

Output
Mass density (g/cm3): 9.8
Raw total energy (eV/cell): -68.62

Record 3
Computed, not measured: an optimized crystal structure of HoAl2Tl at the PBE-GGA level of DFT.

```
data_HoAl2Tl
_cell_length_a 4.4605
_cell_length_b 4.4605
_cell_length_c 4.3666
_cell_angle_alpha 90.00
_cell_angle_beta 90.00
_cell_angle_gamma 90.00
_symmetry_space_group_name_H-M 'P 4/m m m'
_symmetry_Int_Tables_number 123
_symmetry_space_group_name_Hall '-P 4 2'
loop_
_atom_site_label
_atom_site_type_symbol
_atom_site_fract_x
_atom_site_fract_y
_atom_site_fract_z
Ho1 Ho 0.0000 0.0000 0.0000
Al1 Al 0.0000 0.5000 0.5000
Tl1 Tl 0.5000 0.5000 0.0000
```

Output
Mass density (g/cm3): 8.1
Raw total energy (eV/cell): -15.42

Record 4
Computed, not measured: an optimized crystal structure of Ho5Al4Tl at the PBE-GGA level of DFT.

```
data_Ho5Al4Tl
_cell_length_a 3.5916
_cell_length_b 3.5916
_cell_length_c 18.4979
_cell_angle_alpha 90.00
_cell_angle_beta 90.00
_cell_angle_gamma 90.00
_symmetry_space_group_name_H-M 'P 4/m m m'
_symmetry_Int_Tables_number 123
_symmetry_space_group_name_Hall '-P 4 2'
loop_
_atom_site_label
_atom_site_type_symbol
_atom_site_fract_x
_atom_site_fract_y
_atom_site_fract_z
Ho1 Ho 0.0000 0.0000 0.0000
Ho2 Ho 0.0000 0.0000 0.1921
Ho3 Ho 0.0000 0.0000 0.3879
Al1 Al 0.5000 0.5000 0.0958
Al2 Al 0.5000 0.5000 0.2902
Tl1 Tl 0.5000 0.5000 0.5000
```

Output
Mass density (g/cm3): 7.9
Raw total energy (eV/cell): -44.03

Record 5
Computed, not measured: an optimized crystal structure of Ho5AlTl2 at the PBE-GGA level of DFT.

```
data_Ho5AlTl2
_cell_length_a 8.1263
_cell_length_b 8.1263
_cell_length_c 13.5821
_cell_angle_alpha 90.00
_cell_angle_beta 90.00
_cell_angle_gamma 90.00
_symmetry_space_group_name_H-M 'I 4/m c m'
_symmetry_Int_Tables_number 140
_symmetry_space_group_name_Hall '-I 4 2c'
loop_
_atom_site_label
_atom_site_type_symbol
_atom_site_fract_x
_atom_site_fract_y
_atom_site_fract_z
Ho1 Ho 0.0000 0.0000 0.0000
Ho2 Ho 0.1579 0.3421 0.1553
Al1 Al 0.0000 0.0000 0.2500
Tl1 Tl 0.1383 0.3617 0.5000
```

Output
Mass density (g/cm3): 9.3
Raw total energy (eV/cell): -133.40

Record 6
Computed, not measured: an optimized crystal structure of Ho5Al2Tl at the PBE-GGA level of DFT.

```
data_Ho5Al2Tl
_cell_length_a 7.7889
_cell_length_b 7.7889
_cell_length_c 14.3707
_cell_angle_alpha 90.00
_cell_angle_beta 90.00
_cell_angle_gamma 90.00
_symmetry_space_group_name_H-M 'I 4/m c m'
_symmetry_Int_Tables_number 140
_symmetry_space_group_name_Hall '-I 4 2c'
loop_
_atom_site_label
_atom_site_type_symbol
_atom_site_fract_x
_atom_site_fract_y
_atom_site_fract_z
Ho1 Ho 0.0000 0.0000 0.0000
Ho2 Ho 0.1668 0.3332 0.1461
Al1 Al 0.1228 0.3772 0.5000
Tl1 Tl 0.0000 0.0000 0.2500
```

Output
Mass density (g/cm3): 8.3
Raw total energy (eV/cell): -141.03

Record 7
Computed, not measured: an optimized crystal structure of Ho6AlTl5 at the PBE-GGA level of DFT.

```
data_Ho6AlTl5
_cell_length_a 16.8677
_cell_length_b 7.4201
_cell_length_c 5.3316
_cell_angle_alpha 90.00
_cell_angle_beta 108.34
_cell_angle_gamma 90.00
_symmetry_space_group_name_H-M 'C 1 2/m 1'
_symmetry_Int_Tables_number 12
loop_
_symmetry_equiv_pos_as_xyz
'x,y,z'
'-x,-y,-z'
'-x,y,-z'
'x,-y,z'
'x+1/2,y+1/2,z'
'-x+1/2,-y+1/2,-z'
'-x+1/2,y+1/2,-z'
'x+1/2,-y+1/2,z'
loop_
_atom_site_label
_atom_site_type_symbol
_atom_site_fract_x
_atom_site_fract_y
_atom_site_fract_z
Ho1 Ho 0.0000 0.2415 0.0000
Ho2 Ho 0.1628 0.2454 0.6627
Al1 Al 0.0000 0.0000 0.5000
Tl1 Tl 0.0000 0.5000 0.5000
Tl2 Tl 0.1664 0.5000 0.1663
Tl3 Tl 0.1705 0.0000 0.1704
```

Output
Mass density (g/cm3): 10.7
Raw total energy (eV/cell): -93.85

Record 8
Computed, not measured: an optimized crystal structure of HoTmAlTl at the PBE-GGA level of DFT.

```
data_HoTmAlTl
_cell_length_a 7.3623
_cell_length_b 7.3623
_cell_length_c 7.3623
_cell_angle_alpha 90.00
_cell_angle_beta 90.00
_cell_angle_gamma 90.00
_symmetry_space_group_name_H-M 'F -4 3 m'
_symmetry_Int_Tables_number 216
_symmetry_space_group_name_Hall 'F -4 2 3'
loop_
_atom_site_label
_atom_site_type_symbol
_atom_site_fract_x
_atom_site_fract_y
_atom_site_fract_z
Ho1 Ho 0.0000 0.0000 0.0000
Tm1 Tm 0.0000 0.0000 0.5000
Al1 Al 0.2500 0.2500 0.2500
Tl1 Tl 0.2500 0.2500 0.7500
```

Output
ΔE to the lowest computed polymorph (eV/atom): 0.028
Mass density (g/cm3): 9.4
Raw total energy (eV/cell): -65.68

Record 9
Computed, not measured: an optimized crystal structure of HoTmAlTl at the PBE-GGA level of DFT.

```
data_HoTmAlTl
_cell_length_a 3.5822
_cell_length_b 3.5822
_cell_length_c 7.7617
_cell_angle_alpha 90.00
_cell_angle_beta 90.00
_cell_angle_gamma 90.00
_symmetry_space_group_name_H-M 'P 4 m m'
_symmetry_Int_Tables_number 99
loop_
_symmetry_equiv_pos_as_xyz
'x,y,z'
'-y,x,z'
'-x,-y,z'
'y,-x,z'
'-x,y,z'
'y,x,z'
'x,-y,z'
'-y,-x,z'
loop_
_atom_site_label
_atom_site_type_symbol
_atom_site_fract_x
_atom_site_fract_y
_atom_site_fract_z
Ho1 Ho 0.0000 0.0000 0.0000
Tm1 Tm 0.0000 0.0000 0.5316
Al1 Al 0.5000 0.5000 0.7639
Tl1 Tl 0.5000 0.5000 0.2691
```

Output
ΔE to the lowest computed polymorph (eV/atom): 0.000
Mass density (g/cm3): 9.4
Raw total energy (eV/cell): -16.53

Record 10
Computed, not measured: an optimized crystal structure of HoTmAl at the PBE-GGA level of DFT.

```
data_HoTmAl
_cell_length_a 4.4880
_cell_length_b 4.4880
_cell_length_c 8.0193
_cell_angle_alpha 90.00
_cell_angle_beta 90.00
_cell_angle_gamma 90.00
_symmetry_space_group_name_H-M 'P 4/n m m'
_symmetry_Int_Tables_number 129
loop_
_symmetry_equiv_pos_as_xyz
'x,y,z'
'-x,-y,-z'
'-y+1/2,x,z'
'y+1/2,-x,-z'
'-x+1/2,-y+1/2,z'
'x+1/2,y+1/2,-z'
'y,-x+1/2,z'
'-y,x+1/2,-z'
'x+1/2,-y,-z'
'-x+1/2,y,z'
'-y,-x,-z'
'y,x,z'
'-x,y+1/2,-z'
'x,-y+1/2,z'
'y+1/2,x+1/2,-z'
'-y+1/2,-x+1/2,z'
loop_
_atom_site_label
_atom_site_type_symbol
_atom_site_fract_x
_atom_site_fract_y
_atom_site_fract_z
Ho1 Ho 0.2500 0.7500 0.0000
Tm1 Tm 0.2500 0.2500 0.3565
Al1 Al 0.2500 0.2500 0.7322
```

Output
ΔE to the lowest computed polymorph (eV/atom): 0.115
Mass density (g/cm3): 7.4
Raw total energy (eV/cell): -26.46

Record 11
Computed, not measured: an optimized crystal structure of HoTm2Al at the PBE-GGA level of DFT.

```
data_HoTm2Al
_cell_length_a 3.5281
_cell_length_b 3.5281
_cell_length_c 30.8959
_cell_angle_alpha 90.00
_cell_angle_beta 90.00
_cell_angle_gamma 120.00
_symmetry_space_group_name_H-M 'R 3 m'
_symmetry_Int_Tables_number 160
_symmetry_space_group_name_Hall 'R 3 -2"'
loop_
_atom_site_label
_atom_site_type_symbol
_atom_site_fract_x
_atom_site_fract_y
_atom_site_fract_z
Ho1 Ho 0.0000 0.0000 0.0000
Tm1 Tm 0.0000 0.0000 0.5728
Tm2 Tm 0.0000 0.0000 0.7597
Al1 Al 0.0000 0.0000 0.1660
```

Output
ΔE to the lowest computed polymorph (eV/atom): 0.121
Mass density (g/cm3): 7.9
Raw total energy (eV/cell): -52.74

Record 12
Computed, not measured: an optimized crystal structure of Ho6TmAl at the PBE-GGA level of DFT.

```
data_Ho6TmAl
_cell_length_a 9.0822
_cell_length_b 9.0822
_cell_length_c 9.9929
_cell_angle_alpha 90.00
_cell_angle_beta 90.00
_cell_angle_gamma 120.00
_symmetry_space_group_name_H-M 'R -3'
_symmetry_Int_Tables_number 148
_symmetry_space_group_name_Hall '-R 3'
loop_
_atom_site_label
_atom_site_type_symbol
_atom_site_fract_x
_atom_site_fract_y
_atom_site_fract_z
Ho1 Ho 0.0233 0.7712 0.2162
Tm1 Tm 0.0000 0.0000 0.5000
Al1 Al 0.0000 0.0000 0.0000
```

Output
Mass density (g/cm3): 8.3
Raw total energy (eV/cell): -106.03

no.,formation energy (eV per formula unit)
1,-2.10
2,-2.85
3,-0.99
4,-3.80
5,-1.99
6,-2.52
7,-3.89
8,-1.26
9,-1.37
10,-0.44
11,-0.32
12,0.34